Here is crystalline Co2AsPt at its relaxed geometry from the Alexandria database. Energies are from GGA-PBE.

Calculated values
**Symmetry**: Cmmm, No. 65

Unit cell a=4.3954 b=4.3954 c=2.8194 alpha=90.00 beta=90.00 gamma=105.17
Closest atoms and distances in Å follow each position.
Sites, in units of the cell vectors:
Co  0.0000  0.5000  0.0000  4 As 2.61, 4 Pt 2.61, 4 Co 2.67-2.82
Co  0.5000  0.0000  0.0000  4 As 2.61, 4 Pt 2.61, 4 Co 2.67-2.82
As  0.0000  0.0000  0.5000  8 Co 2.61, 2 Pt 2.67, 2 As 2.82
Pt  0.5000  0.5000  0.5000  8 Co 2.61, 2 As 2.67, 2 Pt 2.82



Here is crystalline Co2AsPt at its relaxed geometry from the Alexandria database. Energies are from GGA-PBE.

Calculated values
**Symmetry**: Cm, No. 8

Unit cell a=4.4398 b=4.4398 c=4.5540 alpha=97.26 beta=97.26 gamma=37.17
Closest atoms and distances in Å follow each position.
Sites, in units of the cell vectors:
Co  0.0000  0.0000  0.0000  2 As 2.41, 3 Co 2.52-2.53, 3 Pt 2.61-2.67
Co  0.7364  0.7364  0.2092  3 As 2.43-2.62, 3 Co 2.52-2.53, 2 Pt 2.62
As  0.4868  0.4868  0.4235  5 Co 2.41-2.62, 1 Pt 2.55
Pt  0.2542  0.2542  0.7296  1 As 2.55, 7 Co 2.61-2.75, 2 Pt 2.83



Here is crystalline Co2AsPt at its relaxed geometry from the Alexandria database. Energies are from GGA-PBE.

Calculated values
**Symmetry**: P4/mmm, No. 123

Unit cell a=2.8576 b=2.8576 c=6.3769 alpha=90.00 beta=90.00 gamma=90.00
Closest atoms and distances in Å follow each position.
Sites, in units of the cell vectors:
Co  0.0000  0.0000  0.2175  4 As 2.45, 4 Pt 2.71
Co  0.0000  0.0000  0.7825  4 As 2.45, 4 Pt 2.71
As  0.5000  0.5000  0.0000  8 Co 2.45
Pt  0.5000  0.5000  0.5000  8 Co 2.71, 4 Pt 2.86



Here is crystalline CoAsPt at its relaxed geometry from the Alexandria database. Energies are from GGA-PBE.

Calculated values
**Symmetry**: Imm2, No. 44

Unit cell a=5.0138 b=5.0138 c=5.0138 alpha=146.99 beta=141.50 gamma=51.60
Closest atoms and distances in Å follow each position.
Sites, in units of the cell vectors:
Co  0.0000  0.0000  0.0000  4 As 2.43
As  0.3826  0.3826  0.0000  4 Co 2.43
Pt  0.6887  0.6887  0.0000  5 As 2.76-2.80, 5 Co 2.77-2.81, 2 Pt 2.85



Here is crystalline Co2AsPt at its relaxed geometry from the Alexandria database. Energies are from GGA-PBE.

Calculated values
**Symmetry**: Pmm2, No. 25

Unit cell a=2.8303 b=3.5071 c=5.4366 alpha=90.00 beta=90.00 gamma=90.00
Closest atoms and distances in Å follow each position.
Sites, in units of the cell vectors:
Co  0.0000  0.0000  0.0000  4 Co 2.52, 4 As 2.57, 1 Pt 2.57
Co  0.5000  0.5000  0.2095  1 As 2.38, 4 Co 2.52
As  0.5000  0.5000  0.7722  5 Co 2.38-2.57
Pt  0.0000  0.0000  0.4734  6 Co 2.57-2.86, 4 As 2.78, 2 Pt 2.83



Here is crystalline Co2AsPt at its relaxed geometry from the Alexandria database. Energies are from GGA-PBE.

Calculated values
**Symmetry**: F-43m, No. 216

Unit cell a=4.2670 b=4.2670 c=4.2670 alpha=60.00 beta=60.00 gamma=60.00
Closest atoms and distances in Å follow each position.
Sites, in units of the cell vectors:
Co  0.0000  0.0000  0.0000  4 Co 2.61, 4 Pt 2.61
Co  0.2500  0.2500  0.2500  4 As 2.61, 4 Co 2.61
As  0.5000  0.5000  0.5000  4 Co 2.61, 4 Pt 2.61
Pt  0.7500  0.7500  0.7500  4 As 2.61, 4 Co 2.61



Here is crystalline Co2AsPt at its relaxed geometry from the Alexandria database. Energies are from GGA-PBE.

Calculated values
**Symmetry**: R-3m, No. 166

Unit cell a=8.0358 b=8.0358 c=8.0358 alpha=20.01 beta=20.01 gamma=20.01
Closest atoms and distances in Å follow each position.
Sites, in units of the cell vectors:
Co  0.2432  0.2432  0.2432  3 As 2.42, 3 Pt 2.67
Co  0.7568  0.7568  0.7568  3 As 2.42, 3 Pt 2.67
As  0.5000  0.5000  0.5000  6 Co 2.42
Pt  0.0000  0.0000  0.0000  6 Co 2.67, 6 Pt 2.79



Here is crystalline Co2AsPt at its relaxed geometry from the Alexandria database. Energies are from GGA-PBE.

Calculated values
**Symmetry**: P4mm, No. 99

Unit cell a=2.8003 b=2.8003 c=6.9825 alpha=90.00 beta=90.00 gamma=90.00
Closest atoms and distances in Å follow each position.
Sites, in units of the cell vectors:
Co  0.0000  0.0000  0.0000  4 Co 2.48, 4 As 2.53
Co  0.5000  0.5000  0.2134  4 Co 2.48, 4 Pt 2.64
As  0.5000  0.5000  0.7752  4 Co 2.53, 4 As 2.80
Pt  0.0000  0.0000  0.4634  4 Co 2.64, 4 Pt 2.80, 4 As 2.94



Here is crystalline Co2As2Pt at its relaxed geometry from the Alexandria database. Energies are from GGA-PBE.

Calculated values
**Symmetry**: P4/mbm, No. 127

Unit cell a=6.8639 b=6.8639 c=2.8887 alpha=90.00 beta=90.00 gamma=90.00
Closest atoms and distances in Å follow each position.
Sites, in units of the cell vectors:
Co  0.1359  0.3641  0.0000  6 As 2.46-2.50, 1 Co 2.64
Co  0.3641  0.8641  0.0000  6 As 2.46-2.50, 1 Co 2.64
Co  0.6359  0.1359  0.0000  6 As 2.46-2.50, 1 Co 2.64
Co  0.8641  0.6359  0.0000  6 As 2.46-2.50, 1 Co 2.64
As  0.1536  0.6536  0.5000  6 Co 2.46-2.50, 2 Pt 2.60
As  0.3464  0.1536  0.5000  6 Co 2.46-2.50, 2 Pt 2.60
As  0.6536  0.8464  0.5000  6 Co 2.46-2.50, 2 Pt 2.60
As  0.8464  0.3464  0.5000  6 Co 2.46-2.50, 2 Pt 2.60
Pt  0.0000  0.0000  0.5000  4 As 2.60, 2 Pt 2.89
Pt  0.5000  0.5000  0.5000  4 As 2.60, 2 Pt 2.89



Here is crystalline Co2AsPt at its relaxed geometry from the Alexandria database. Energies are from GGA-PBE.

Calculated values
**Symmetry**: R3m, No. 160

Unit cell a=8.4305 b=8.4305 c=8.4305 alpha=18.89 beta=18.89 gamma=18.89
Closest atoms and distances in Å follow each position.
Sites, in units of the cell vectors:
Co  0.0000  0.0000  0.0000  9 Co 2.49-2.77, 3 Pt 2.67
Co  0.2567  0.2567  0.2567  3 As 2.42, 3 Co 2.49
As  0.5170  0.5170  0.5170  3 Co 2.42
Pt  0.7527  0.7527  0.7527  3 Co 2.67, 6 Pt 2.77, 3 As 2.90



Here is crystalline CoAsPt at its relaxed geometry from the Alexandria database. Energies are from GGA-PBE.

Calculated values
**Symmetry**: P3m1, No. 156

Unit cell a=2.9125 b=2.9125 c=5.9330 alpha=90.00 beta=90.00 gamma=120.00
Closest atoms and distances in Å follow each position.
Sites, in units of the cell vectors:
Co  0.0000  0.0000  0.0000  3 As 2.39, 3 Pt 2.67
As  0.3333  0.6667  0.7138  3 Co 2.39
Pt  0.6667  0.3333  0.3493  3 Co 2.67, 3 As 2.74, 6 Pt 2.91



Here is crystalline Co2AsPt at its relaxed geometry from the Alexandria database. Energies are from GGA-PBE.

Calculated values
**Symmetry**: Pm, No. 6

Unit cell a=2.7738 b=3.7078 c=5.4382 alpha=90.00 beta=104.67 gamma=90.00
Closest atoms and distances in Å follow each position.
Sites, in units of the cell vectors:
Co  0.0000  0.0000  0.0000  1 As 2.28
Co  0.3752  0.5000  0.7507  4 As 2.51, 1 Pt 2.59, 6 Co 2.66-2.77
As  0.7832  0.0000  0.5673  5 Co 2.28-2.51, 2 Pt 2.52
Pt  0.6217  0.5000  0.2438  2 As 2.52, 5 Co 2.59-2.65, 2 Pt 2.77



Here is crystalline Co2AsPt2 at its relaxed geometry from the Alexandria database. Energies are from GGA-PBE.

Calculated values
**Symmetry**: P4/mbm, No. 127

Unit cell a=6.0214 b=6.0214 c=3.9268 alpha=90.00 beta=90.00 gamma=90.00
Closest atoms and distances in Å follow each position.
Sites, in units of the cell vectors:
Co  0.1366  0.3634  0.0000  1 Co 2.33, 2 As 2.34
Co  0.3634  0.8634  0.0000  1 Co 2.33, 2 As 2.34
Co  0.6366  0.1366  0.0000  1 Co 2.33, 2 As 2.34
Co  0.8634  0.6366  0.0000  1 Co 2.33, 2 As 2.34
As  0.0000  0.0000  0.0000  4 Co 2.34
As  0.5000  0.5000  0.0000  4 Co 2.34
Pt  0.1590  0.6590  0.5000  6 Co 2.62-2.65, 1 Pt 2.71
Pt  0.3410  0.1590  0.5000  6 Co 2.62-2.65, 1 Pt 2.71
Pt  0.6590  0.8410  0.5000  6 Co 2.62-2.65, 1 Pt 2.71
Pt  0.8410  0.3410  0.5000  6 Co 2.62-2.65, 1 Pt 2.71



Here is crystalline Co2AsPt at its relaxed geometry from the Alexandria database. Energies are from GGA-PBE.

Calculated values
**Symmetry**: P4/mmm, No. 123

Unit cell a=4.2419 b=4.2419 c=2.9673 alpha=90.00 beta=90.00 gamma=90.00
Closest atoms and distances in Å follow each position.
Sites, in units of the cell vectors:
Co  0.0000  0.5000  0.0000  4 Pt 2.59, 4 As 2.59
Co  0.5000  0.0000  0.0000  4 Pt 2.59, 4 As 2.59
As  0.0000  0.0000  0.5000  8 Co 2.59
Pt  0.5000  0.5000  0.5000  8 Co 2.59



Which ΔH_f (0 K) belongs to each record? In order, 27; 7; 17; 49; 31; 145; 49; 84; -31; 148; 74; -7; 34; 68 meV/atom.
Which magnetization belongs to each record? In order, 2.10; 2.75; 2.22; 0.84; 3.02; 3.64; 2.42; 3.25; 0.00; 2.76; 1.31; 2.60; 3.15; 2.67 μB/f.u..